# LaNd2Rh

Crystalline LaNd2Rh at its relaxed geometry (GGA-PBE, Alexandria via LeMat-Bulk).

abc: 3.9949 3.9949 9.7823
angles: 78.22 78.22 60.00
Fractional positions:
1 La 0.5010 0.5010 0.4969
2 Nd 0.0573 0.0573 0.8282
3 Nd 0.2755 0.2755 0.1734
4 Rh 0.6662 0.6662 0.0015

Values from the calculation:
For the energy of formation from the pure elements, the calculation gives -291 meV per atom. For the total energy, the calculation gives -23.0 eV per cell. The calculation puts the distance to the lowest polymorph of the same formula at 148 meV per atom. The value obtained for the density of states at the Fermi level is 5.21 states/eV per cell.

=====

# ThNbSb2

Crystalline ThNbSb2 at its relaxed geometry (GGA-PBE, Alexandria via LeMat-Bulk).

abc: 4.0814 4.0813 7.4138
angles: 106.02 105.98 90.00
Fractional positions:
1 Th 0.2213 0.8812 0.2282
2 Nb 0.4713 0.6307 0.7282
3 Sb 0.8413 0.5018 0.4682
4 Sb 0.6014 0.2610 0.9882

Values from the calculation:
For the total energy, the calculation gives -26.4 eV per cell. The calculation puts the distance to the lowest polymorph of the same formula at 0 meV per atom. The value obtained for the density of states at the Fermi level is 3.65 states/eV per cell. As for the formation energy from raw total energies: -0.1774 eV per atom.

=====

# NaLi6Cd12

Crystalline NaLi6Cd12 at its relaxed geometry (GGA-PBE, Alexandria via LeMat-Bulk).

abc: 7.9960 7.9960 7.9960
angles: 106.99 106.99 106.99
Fractional positions:
1 Na 0.0000 0.0000 0.0000
2 Li 0.7076 0.2890 0.2890
3 Li 0.2890 0.2890 0.7076
4 Li 0.2890 0.7076 0.2890
5 Li 0.7110 0.7110 0.2924
6 Li 0.2924 0.7110 0.7110
7 Li 0.7110 0.2924 0.7110
8 Cd 0.8846 0.1154 0.5000
9 Cd 0.8608 0.6205 0.6205
10 Cd 0.6205 0.6205 0.8608
11 Cd 0.3795 0.1392 0.3795
12 Cd 0.3795 0.3795 0.1392
13 Cd 0.1392 0.3795 0.3795
14 Cd 0.1154 0.5000 0.8846
15 Cd 0.5000 0.8846 0.1154
16 Cd 0.1154 0.8846 0.5000
17 Cd 0.8846 0.5000 0.1154
18 Cd 0.5000 0.1154 0.8846
19 Cd 0.6205 0.8608 0.6205

Values from the calculation:
For the energy of formation from the pure elements, the calculation gives -68 meV per atom. For the total energy, the calculation gives -25.1 eV per cell. The value obtained for the density of states at the Fermi level is 7.91 states/eV per cell.

=====

# BaAs2H

Crystalline BaAs2H at its relaxed geometry (GGA-PBE, Alexandria via LeMat-Bulk).

abc: 5.2066 5.2066 5.2066
angles: 60.00 60.00 60.00
Fractional positions:
1 H 0.0000 0.0000 0.0000
2 As 0.2500 0.2500 0.2500
3 As 0.7500 0.7500 0.7500
4 Ba 0.5000 0.5000 0.5000

Values from the calculation:
For the total energy, the calculation gives -12.5 eV per cell. The calculation puts the distance to the lowest polymorph of the same formula at 698 meV per atom. The value obtained for the density of states at the Fermi level is 3.57 states/eV per cell.

=====

# TiHRhPb2

Crystalline TiHRhPb2 at its relaxed geometry (GGA-PBE, Alexandria via LeMat-Bulk).

abc: 5.4935 4.4403 5.4935
angles: 90.00 90.00 90.00
Fractional positions:
1 Pb 0.0000 0.0000 0.5000
2 Pb 0.5000 0.0000 0.0000
3 H 0.5000 0.5000 0.5000
4 Rh 0.0000 0.5000 0.0000
5 Ti 0.0000 0.0000 0.0000

Values from the calculation:
For the total energy, the calculation gives -21.7 eV per cell. The value obtained for the density of states at the Fermi level is 3.71 states/eV per cell.

=====

# Sr3GaGe2Au6

Crystalline Sr3GaGe2Au6 at its relaxed geometry (GGA-PBE, Alexandria via LeMat-Bulk).

abc: 6.6517 6.6517 8.0475
angles: 90.00 90.00 120.00
Fractional positions:
1 Sr 0.3333 0.6667 0.6782
2 Sr 0.6667 0.3333 0.3218
3 Sr 0.0000 0.0000 0.0000
4 Ga 0.0000 0.0000 0.5000
5 Ge 0.6667 0.3333 0.9189
6 Ge 0.3333 0.6667 0.0811
7 Au 0.6385 0.8193 0.3147
8 Au 0.1807 0.3615 0.3147
9 Au 0.1807 0.8193 0.3147
10 Au 0.8193 0.6385 0.6853
11 Au 0.3615 0.1807 0.6853
12 Au 0.8193 0.1807 0.6853

Values from the calculation:
For the energy of formation from the pure elements, the calculation gives -494 meV per atom. For the total energy, the calculation gives -42.9 eV per cell. The value obtained for the density of states at the Fermi level is 5.20 states/eV per cell.

=====

# Pr3Y2ScSe6

Crystalline Pr3Y2ScSe6 at its relaxed geometry (GGA-PBE, Alexandria via LeMat-Bulk).

abc: 4.0919 8.4074 9.3194
angles: 104.79 102.68 90.00
Fractional positions:
1 Pr 0.5000 0.5000 0.0000
2 Pr 0.8307 0.1642 0.6615
3 Pr 0.1693 0.8358 0.3385
4 Y 0.8342 0.6679 0.6685
5 Y 0.1658 0.3321 0.3315
6 Sc 0.5000 0.0000 0.0000
7 Se 0.3424 0.9103 0.6848
8 Se 0.6704 0.5742 0.3409
9 Se 0.6576 0.0897 0.3152
10 Se 0.0018 0.2293 0.0036
11 Se 0.9982 0.7707 0.9964
12 Se 0.3296 0.4258 0.6591

Values from the calculation:
For the total energy, the calculation gives -75.8 eV per cell. The value obtained for the density of states at the Fermi level is 5.34 states/eV per cell. As for the formation energy from raw total energies: -1.7713 eV per atom.

=====

# NiPt3Rh

Crystalline NiPt3Rh at its relaxed geometry (GGA-PBE, Alexandria via LeMat-Bulk).

abc: 3.9856 5.4182 7.0912
angles: 90.00 106.35 90.00
Fractional positions:
1 Ni 0.6876 0.7500 0.3753
2 Ni 0.3124 0.2500 0.6247
3 Pt 0.8961 0.0024 0.7919
4 Pt 0.1039 0.9976 0.2081
5 Pt 0.8961 0.4976 0.7919
6 Pt 0.1039 0.5024 0.2081
7 Pt 0.2978 0.7500 0.5955
8 Pt 0.7022 0.2500 0.4045
9 Rh 0.4996 0.7500 0.9995
10 Rh 0.5004 0.2500 0.0005

Values from the calculation:
For the energy of formation from the pure elements, the calculation gives 35 meV per atom. For the total energy, the calculation gives -62.2 eV per cell. The calculation puts the distance to the lowest polymorph of the same formula at 0 meV per atom. The value obtained for the density of states at the Fermi level is 18.98 states/eV per cell.